[1]
This record from Alexandria describes NdMgGaGe after structural relaxation. The functional is GGA-PBE.

```
NdMgGaGe
1.0
4.306 0.000 0.000
0.000 4.306 0.000
0.000 0.000 10.252
Nd Mg Ga Ge
2 2 2 2
direct
0.250 0.250 0.184 Nd
0.750 0.750 0.816 Nd
0.250 0.750 0.500 Mg
0.750 0.250 0.500 Mg
0.250 0.250 0.671 Ga
0.750 0.750 0.329 Ga
0.250 0.250 0.905 Ge
0.750 0.750 0.095 Ge
```

Calculated values
Its space group is No. 129. The total energy is -3.908 eV per atom. The formation energy comes out at -1.625 eV per formula unit. As for the total magnetization: 0.000 Bohr magnetons per cell.

***

[2]
This record from Alexandria describes Ce3Th4 after structural relaxation. The functional is GGA-PBE.

```
Ce3Th4
1.0
5.522 -2.469 0.000
5.522 2.469 0.000
-1.035 0.000 7.690
Ce Th
3 4
direct
0.000 0.000 0.000 Ce
0.284 0.284 0.860 Ce
0.716 0.716 0.140 Ce
0.144 0.144 0.427 Th
0.430 0.430 0.282 Th
0.570 0.570 0.718 Th
0.856 0.856 0.573 Th
```

Calculated values
Its space group is No. 12. The total energy is -6.761 eV per atom. The formation energy comes out at 0.155 eV per formula unit. As for the total magnetization: 0.000 Bohr magnetons per cell.

***

[3]
This record from Alexandria describes NbGa2Rh2 after structural relaxation. The functional is GGA-PBE.

```
NbGa2Rh2
1.0
7.309 0.000 0.000
0.000 7.309 0.000
0.000 0.000 2.875
Nb Ga Rh
2 4 4
direct
0.000 0.000 0.000 Nb
0.500 0.500 0.000 Nb
0.162 0.338 0.500 Ga
0.338 0.838 0.500 Ga
0.662 0.162 0.500 Ga
0.838 0.662 0.500 Ga
0.136 0.636 0.000 Rh
0.364 0.136 0.000 Rh
0.636 0.864 0.000 Rh
0.864 0.364 0.000 Rh
```

Calculated values
Its space group is No. 127. The total energy is -6.573 eV per atom. The formation energy comes out at -2.037 eV per formula unit. As for the total magnetization: 0.000 Bohr magnetons per cell.